Entry from Alexandria via LeMat-Bulk: a relaxed structure of LaMnHN2 (PBE).

Results
**SG**: P4/mmm, No. 123
**E_tot**: -7.54 eV per atom
**V**: 10.56 Å³ per atom

Lattice parameters (Å, degrees): 3.8166 3.8166 3.6238 90.00 90.00 90.00
Last column: nearest neighbours and their distance in Å.
Positions (direct):
La1 0.0000 0.0000 0.0000  8 N 2.63, 4 H 2.70
Mn1 0.5000 0.5000 0.5000  2 H 1.81, 4 N 1.91
H1 0.5000 0.5000 0.0000  2 Mn 1.81
N1 0.0000 0.5000 0.5000  2 Mn 1.91
N2 0.5000 0.0000 0.5000  2 Mn 1.91

Entry from Alexandria via LeMat-Bulk: a relaxed structure of YBeAg2 (PBE).

Results
**SG**: F-43m, No. 216
**E_tot**: -3.92 eV per atom
**V**: 18.78 Å³ per atom

Lattice parameters (Å, degrees): 4.7364 4.7364 4.7364 60.00 60.00 60.00
Last column: nearest neighbours and their distance in Å.
Positions (direct):
Y1 0.0000 0.0000 0.0000  4 Ag 2.90, 4 Be 2.90
Be1 0.2500 0.2500 0.2500  4 Ag 2.90, 4 Y 2.90
Ag1 0.5000 0.5000 0.5000  4 Ag 2.90, 4 Be 2.90
Ag2 0.7500 0.7500 0.7500  4 Y 2.90, 4 Ag 2.90

Entry from Alexandria via LeMat-Bulk: a relaxed structure of TiNbS2Cl (PBE).

Results
**SG**: P4/mmm, No. 123
**E_tot**: -5.77 eV per atom
**V**: 20.66 Å³ per atom
**Formation energy from raw total energies**: -0.155 eV/atom

Lattice parameters (Å, degrees): 4.7601 4.7601 4.5585 90.00 90.00 90.00
Last column: nearest neighbours and their distance in Å.
Positions (direct):
Ti1 0.0000 0.0000 0.0000  2 Cl 2.28, 4 S 2.38
Nb1 0.5000 0.5000 0.5000  8 S 3.30, 4 Cl 3.37
S1 0.0000 0.5000 0.0000  2 Ti 2.38
S2 0.5000 0.0000 0.0000  2 Ti 2.38
Cl1 0.0000 0.0000 0.5000  2 Ti 2.28

Entry from Alexandria via LeMat-Bulk: a relaxed structure of NaLiIn2Ir (PBE).

Results
**SG**: P4/mmm, No. 123
**E_tot**: -3.62 eV per atom
**V**: 26.29 Å³ per atom

Lattice parameters (Å, degrees): 5.1521 5.1521 4.9514 90.00 90.00 90.00
Last column: nearest neighbours and their distance in Å.
Positions (direct):
Na1 0.0000 0.0000 0.0000  8 In 3.57, 4 Li 3.64
Li1 0.5000 0.5000 0.0000  2 Ir 2.48
In1 0.0000 0.5000 0.5000  2 Ir 2.58
In2 0.5000 0.0000 0.5000  2 Ir 2.58
Ir1 0.5000 0.5000 0.5000  2 Li 2.48, 4 In 2.58